This record from the Alexandria database describes an optimized crystal structure of AlCu2Cl. The functional is PBE.

As for the relative energy among the computed polymorphs: 0.0 meV per atom. The value obtained for the magnetic moment is 0.00 μB/f.u.

It has space group Cm (No. 8), with a = 13.610 Å, b = 3.149 Å, c = 3.069 Å, α = 90.00°, β = 90.06° and γ = 90.00°. The inequivalent atoms are Al at (0.000, 0.000, 0.000), Cu at (0.088, 0.500, 0.500), Cu at (0.192, 0.000, 0.003) and Cl at (0.334, 0.500, 0.002).